# InCuOs4 GGA-PBE optimized geometry
# - magnetic moment (μB per cell) = 0.50
# - energy of formation from the pure elements (meV per atom) = 799
data_InCuOs4
_cell_length_a 5.1968
_cell_length_b 5.1968
_cell_length_c 5.1968
_cell_angle_alpha 60.00
_cell_angle_beta 60.00
_cell_angle_gamma 60.00
_symmetry_space_group_name_H-M 'P 1'
_symmetry_Int_Tables_number 1
loop_
_symmetry_equiv_pos_as_xyz
'x,y,z'
loop_
_atom_site_label
_atom_site_type_symbol
_atom_site_fract_x
_atom_site_fract_y
_atom_site_fract_z
In1 In 0.0000 0.0000 0.0000
Os1 Os 0.6247 0.1259 0.6247
Cu1 Cu 0.2500 0.2500 0.2500
Os2 Os 0.6247 0.6247 0.1259
Os3 Os 0.1259 0.6247 0.6247
Os4 Os 0.6247 0.6247 0.6247